Entry 1:
The following is a PBE-GGA calculation of an optimized crystal structure of La12Dy3Tl, from Alexandria via LeMat-Bulk.

a b c (Å): 5.1603 5.1603 20.8429
angles (deg): 90.00 90.00 90.00
Space group P4/mmm (No. 123)
Symmetry-distinct sites (fractional):
La: 0.0000 0.0000 0.0000 (multiplicity 1)
La: 0.0000 0.0000 0.2496 (multiplicity 2)
La: 0.0000 0.0000 0.5000 (multiplicity 1)
La: 0.0000 0.5000 0.1224 (multiplicity 4)
La: 0.0000 0.5000 0.3744 (multiplicity 4)
Dy: 0.5000 0.5000 0.2488 (multiplicity 2)
Dy: 0.5000 0.5000 0.5000 (multiplicity 1)
Tl: 0.5000 0.5000 0.0000 (multiplicity 1)

Computed properties:
Uncorrected energy, eV/atom: -4.752
Total magnetization, μB per formula unit: 0.000
Fermi-level density of states, states/eV/cell: 21.72


Entry 2:
The following is a PBE-GGA calculation of an optimized crystal structure of La2Dy6Tl, from Alexandria via LeMat-Bulk.

a b c (Å): 3.5467 10.2750 16.0000
angles (deg): 90.00 90.00 90.00
Space group Immm (No. 71)
Symmetry-distinct sites (fractional):
La: 0.0000 0.0000 0.1505 (multiplicity 4)
Dy: 0.0000 0.2930 0.5000 (multiplicity 4)
Dy: 0.0000 0.3378 0.1766 (multiplicity 8)
Tl: 0.0000 0.5000 0.0000 (multiplicity 2)

Computed properties:
Uncorrected energy, eV/atom: -4.421
Total magnetization, μB per formula unit: 0.000
Fermi-level density of states, states/eV/cell: 21.84


Entry 3:
The following is a PBE-GGA calculation of an optimized crystal structure of La2DyTl3, from Alexandria via LeMat-Bulk.

a b c (Å): 3.8263 29.6048 6.8304
angles (deg): 90.00 90.00 90.00
Space group Cmcm (No. 63)
Symmetry-distinct sites (fractional):
La: 0.0000 0.0063 0.2500 (multiplicity 4)
La: 0.0000 0.1567 0.7500 (multiplicity 4)
Dy: 0.0000 0.3337 0.7500 (multiplicity 4)
Tl: 0.0000 0.2507 0.2500 (multiplicity 4)
Tl: 0.0000 0.4214 0.0124 (multiplicity 8)

Computed properties:
Uncorrected energy, eV/atom: -3.843
Total magnetization, μB per formula unit: 0.002
Fermi-level density of states, states/eV/cell: 22.75


Entry 4:
The following is a PBE-GGA calculation of an optimized crystal structure of La4Dy5Tl, from Alexandria via LeMat-Bulk.

a b c (Å): 10.9109 10.9109 5.8800
angles (deg): 90.00 90.00 90.00
Space group I4mm (No. 107)
Symmetry-distinct sites (fractional):
La: 0.0000 0.3090 0.0000 (multiplicity 8)
Dy: 0.0000 0.0000 0.8009 (multiplicity 2)
Dy: 0.1834 0.1834 0.5065 (multiplicity 8)
Tl: 0.0000 0.0000 0.2846 (multiplicity 2)

Computed properties:
Uncorrected energy, eV/atom: -4.437
Total magnetization, μB per formula unit: 0.000
Fermi-level density of states, states/eV/cell: 31.13


Entry 5:
The following is a PBE-GGA calculation of an optimized crystal structure of LaDy3Tl2, from Alexandria via LeMat-Bulk.

a b c (Å): 5.1819 10.1592 6.8332
angles (deg): 90.00 90.00 90.00
Space group Pmc2_1 (No. 26)
Symmetry-distinct sites (fractional):
La: 0.0000 0.0433 0.0000 (multiplicity 2)
Dy: 0.0000 0.3194 0.6178 (multiplicity 2)
Dy: 0.5000 0.1957 0.2735 (multiplicity 2)
Dy: 0.5000 0.4554 0.9023 (multiplicity 2)
Tl: 0.0000 0.3689 0.1553 (multiplicity 2)
Tl: 0.5000 0.1412 0.7331 (multiplicity 2)

Computed properties:
Uncorrected energy, eV/atom: -4.180
Total magnetization, μB per formula unit: 0.000
Fermi-level density of states, states/eV/cell: 13.02


Entry 6:
The following is a PBE-GGA calculation of an optimized crystal structure of La2Dy2Tl3, from Alexandria via LeMat-Bulk.

a b c (Å): 3.5694 33.3290 3.6099
angles (deg): 90.00 90.00 90.00
Space group Cmmm (No. 65)
Symmetry-distinct sites (fractional):
La: 0.0000 0.0708 0.0000 (multiplicity 4)
Dy: 0.0000 0.2039 0.0000 (multiplicity 4)
Tl: 0.0000 0.3584 0.5000 (multiplicity 4)
Tl: 0.0000 0.5000 0.5000 (multiplicity 2)

Computed properties:
Uncorrected energy, eV/atom: -3.989
Total magnetization, μB per formula unit: 0.862
Fermi-level density of states, states/eV/cell: 16.47


Entry 7:
The following is a PBE-GGA calculation of an optimized crystal structure of La6DyTl, from Alexandria via LeMat-Bulk.

a b c (Å): 8.5463 10.0959 6.4535
angles (deg): 90.00 96.89 90.00
Space group C2/m (No. 12)
Symmetry-distinct sites (fractional):
La: 0.1499 0.0000 0.1987 (multiplicity 4)
La: 0.1705 0.1992 0.7248 (multiplicity 8)
Dy: 0.0000 0.5000 0.0000 (multiplicity 2)
Tl: 0.0000 0.5000 0.5000 (multiplicity 2)

Computed properties:
Uncorrected energy, eV/atom: -4.616
Total magnetization, μB per formula unit: 0.000
Fermi-level density of states, states/eV/cell: 19.45


Entry 8:
The following is a PBE-GGA calculation of an optimized crystal structure of LaDy5Tl4, from Alexandria via LeMat-Bulk.

a b c (Å): 3.6019 3.6019 22.1006
angles (deg): 90.00 90.00 90.00
Space group P4/mmm (No. 123)
Symmetry-distinct sites (fractional):
La: 0.0000 0.0000 0.0000 (multiplicity 1)
Dy: 0.5000 0.5000 0.1192 (multiplicity 2)
Dy: 0.5000 0.5000 0.3091 (multiplicity 2)
Dy: 0.5000 0.5000 0.5000 (multiplicity 1)
Tl: 0.0000 0.0000 0.2130 (multiplicity 2)
Tl: 0.0000 0.0000 0.4046 (multiplicity 2)

Computed properties:
Uncorrected energy, eV/atom: -4.014
Total magnetization, μB per formula unit: 0.126
Fermi-level density of states, states/eV/cell: 8.19


Entry 9:
The following is a PBE-GGA calculation of an optimized crystal structure of La4DyTl2, from Alexandria via LeMat-Bulk.

a b c (Å): 5.6781 5.6781 27.5946
angles (deg): 90.00 90.00 120.00
Space group R-3m (No. 166, hexagonal axes)
Symmetry-distinct sites (fractional):
La: 0.0000 0.0000 0.1298 (multiplicity 6)
La: 0.0000 0.0000 0.2712 (multiplicity 6)
Dy: 0.0000 0.0000 0.5000 (multiplicity 3)
Tl: 0.0000 0.0000 0.3895 (multiplicity 6)

Computed properties:
Uncorrected energy, eV/atom: -4.167
Total magnetization, μB per formula unit: 0.000
Fermi-level density of states, states/eV/cell: 40.62


Entry 10:
The following is a PBE-GGA calculation of an optimized crystal structure of La2Dy5Tl3, from Alexandria via LeMat-Bulk.

a b c (Å): 12.2468 15.2765 6.6427
angles (deg): 90.00 98.95 90.00
Space group C2/c (No. 15)
Symmetry-distinct sites (fractional):
La: 0.1216 0.2244 0.0687 (multiplicity 8)
Dy: 0.0000 0.0232 0.2500 (multiplicity 4)
Dy: 0.1191 0.3428 0.5892 (multiplicity 8)
Dy: 0.2222 0.4547 0.0435 (multiplicity 8)
Tl: 0.0000 0.4770 0.2500 (multiplicity 4)
Tl: 0.1428 0.1403 0.5820 (multiplicity 8)

Computed properties:
Uncorrected energy, eV/atom: -4.193
Total magnetization, μB per formula unit: 0.001
Fermi-level density of states, states/eV/cell: 48.39


Entry 11:
The following is a PBE-GGA calculation of an optimized crystal structure of LaDy2Tl3, from Alexandria via LeMat-Bulk.

a b c (Å): 3.8022 3.8022 11.8738
angles (deg): 90.00 90.00 90.00
Space group P4/mmm (No. 123)
Symmetry-distinct sites (fractional):
La: 0.0000 0.0000 0.0000 (multiplicity 1)
Dy: 0.0000 0.0000 0.3403 (multiplicity 2)
Tl: 0.5000 0.5000 0.1824 (multiplicity 2)
Tl: 0.5000 0.5000 0.5000 (multiplicity 1)

Computed properties:
Uncorrected energy, eV/atom: -3.914
Total magnetization, μB per formula unit: 0.000
Fermi-level density of states, states/eV/cell: 4.59


Entry 12:
The following is a PBE-GGA calculation of an optimized crystal structure of La2Dy3Tl4, from Alexandria via LeMat-Bulk.

a b c (Å): 7.2250 16.9418 9.1536
angles (deg): 90.00 90.00 90.00
Space group Cmce (No. 64)
Symmetry-distinct sites (fractional):
La: 0.0000 0.1096 0.0776 (multiplicity 8)
Dy: 0.0000 0.0000 0.5000 (multiplicity 4)
Dy: 0.2500 0.2165 0.7500 (multiplicity 8)
Tl: 0.0000 0.1837 0.4578 (multiplicity 8)
Tl: 0.2500 0.0357 0.7500 (multiplicity 8)

Computed properties:
Uncorrected energy, eV/atom: -3.960
Total magnetization, μB per formula unit: 0.000
Fermi-level density of states, states/eV/cell: 34.27